(1)
MgInSb2 (SCAN, PBEsol geometry); formation energy without anion corrections = 0.0155 eV/atom; excess energy over the best structure of this formula in the dataset = 0.133 eV per atom
1.0
-3.747 1.401 -1.374
-0.604 -4.008 -2.438
-2.241 -2.086 3.984
In Mg Sb
1 1 2
Cartesian
-2.176 -1.303 -1.906
-1.422 -3.047 0.773
0.000 0.000 0.000
-2.994 -0.342 1.305


(2)
CsRb2AgBr (SCAN, PBEsol geometry); formation energy without anion corrections = -0.4342 eV/atom
1.0
-2.317 -2.985 -5.031
5.816 -1.755 -1.637
-0.795 -6.667 4.322
Cs Br Rb Ag
1 1 2 1
Cartesian
1.352 -5.704 -1.173
0.000 0.000 0.000
2.908 -0.878 -0.819
-1.158 -1.493 -2.515
-0.398 -3.334 2.161


(3)
ZnRuSe2Br (SCAN, PBEsol geometry); formation energy without anion corrections = 0.8153 eV/atom
1.0
4.778 0.000 0.000
0.000 4.778 0.000
0.000 0.000 5.006
Ru Zn Se Br
1 1 2 1
Cartesian
2.389 2.389 2.503
0.000 0.000 0.000
0.000 2.389 0.000
2.389 0.000 0.000
0.000 0.000 2.503


(4)
Sr2TcOs (SCAN, PBEsol geometry); calculated formation energy = 0.483 eV/atom
1.0
3.389 0.000 0.000
0.000 3.760 0.000
-1.695 -1.880 8.845
Os Sr Tc
1 2 1
Cartesian
0.000 1.880 0.000
1.695 1.880 2.591
0.000 0.000 6.253
1.695 0.000 0.000